Below is crystalline K2V2PbO6 at its relaxed geometry, with properties calculated at the PBE with a Hubbard U level.

Cell: 6.2299 6.2299 7.3834 Å, 65.05 65.05 60.00°
Closest atoms and distances in Å follow each position.
Atoms (fractional coordinates):
K 0.7982 0.7982 0.6053  9 O 2.92-3.24
K 0.2018 0.2018 0.3947  9 O 2.92-3.24
V 0.4322 0.4322 0.7034  3 O 1.72
V 0.5678 0.5678 0.2966  3 O 1.72
Pb 0.0000 0.0000 0.0000  6 O 2.52
O 0.7383 0.7383 0.2595  1 V 1.72
O 0.2639 0.7383 0.2595  1 V 1.72
O 0.7383 0.2639 0.2595  1 V 1.72
O 0.2617 0.7361 0.7405  1 V 1.72
O 0.7361 0.2617 0.7405  1 V 1.72
O 0.2617 0.2617 0.7405  1 V 1.72

DOS(E_F) = 0.0000 states/eV per atom
Space group = R-3m (166)
VASP energy = -0.231 hartree per atom